A plane-wave DFT calculation with GGA+U was carried out for an optimized crystal structure of Co3As2H16O16.

Properties
SG: No. 12
Total energy in eV/atom: -5.31
Size of the total moment in μB per formula unit: 5.0

Structure (CIF):
```
data_Co3As2H16O16
_cell_length_a 8.464
_cell_length_b 8.464
_cell_length_c 4.765
_cell_angle_alpha 81.31
_cell_angle_beta 81.31
_cell_angle_gamma 105.63
_symmetry_space_group_name_H-M 'P 1'
_symmetry_Int_Tables_number 1
loop_
_symmetry_equiv_pos_as_xyz
'x,y,z'
loop_
_atom_site_label
_atom_site_fract_x
_atom_site_fract_y
_atom_site_fract_z
H1 0.249 0.814 0.721
O1 0.848 0.848 0.376
O2 0.787 0.015 0.804
O3 0.015 0.787 0.804
H2 0.958 0.796 0.635
H3 0.683 0.940 0.944
H4 0.940 0.683 0.944
As1 0.679 0.679 0.364
H5 0.419 0.823 0.513
H6 0.042 0.204 0.365
O4 0.234 0.454 0.805
Co1 0.614 0.386 0.000
O5 0.766 0.546 0.195
H7 0.814 0.249 0.721
O6 0.152 0.152 0.624
O7 0.454 0.234 0.805
O8 0.824 0.368 0.714
H8 0.823 0.419 0.513
O9 0.412 0.412 0.279
H9 0.581 0.177 0.487
O10 0.176 0.632 0.286
O11 0.985 0.213 0.196
O12 0.213 0.985 0.196
H10 0.186 0.751 0.279
H11 0.796 0.958 0.635
H12 0.751 0.186 0.279
Co2 0.000 0.000 0.000
Co3 0.386 0.614 0.000
H13 0.177 0.581 0.487
As2 0.321 0.321 0.636
H14 0.317 0.060 0.056
O13 0.632 0.176 0.286
H15 0.060 0.317 0.056
O14 0.546 0.766 0.195
O15 0.368 0.824 0.714
O16 0.588 0.588 0.721
H16 0.204 0.042 0.365
```